A geometry-optimized Cr2CuPt structure, computed with PBE.

The structure belongs to space group R-3m (No. 166, hexagonal axes); the cell edges are 2.6267, 2.6267 and 26.1338 Å and the angles 90.00°, 90.00° and 120.00°. The distinct sites, in fractional coordinates, are Cr at (0.0000, 0.0000, 0.2480), Cu at (0.0000, 0.0000, 0.5000) and Pt at (0.0000, 0.0000, 0.0000).

The formation energy from the elements comes out at 0.24 eV/atom. The value obtained for the final energy is -85.3 eV per cell.